{
  "formula": "SrAlCrO4",
  "functional": "GGA+U",
  "state": "optimized geometry",
  "dft_energy_ev_per_fu": -49.6,
  "m_tot_mub_per_cell": 6.00,
  "volume_a3_per_atom": 13.7,
  "crystal_system": "monoclinic",
  "sg": "P2_1/m",
  "cell": [[5.314, 0.000, 0.000], [0.000, 5.599, 0.000], [-2.039, 0.000, 6.465]],
  "species": ["Sr", "Sr", "Al", "Al", "Cr", "Cr", "O", "O", "O", "O", "O", "O", "O", "O"],
  "frac_coords": [[0.224, 0.250, 0.451], [0.776, 0.750, 0.549], [0.211, 0.750, 0.170], [0.789, 0.250, 0.830], [0.379, 0.250, 0.999], [0.621, 0.750, 0.001], [0.046, 0.250, 0.064], [0.129, 0.750, 0.398], [0.473, 0.529, 0.184], [0.473, 0.971, 0.184], [0.527, 0.029, 0.816], [0.527, 0.471, 0.816], [0.871, 0.250, 0.602], [0.954, 0.750, 0.936]]
}